Entry from Alexandria via LeMat-Bulk: an optimized crystal structure of BaMnSF2 (PBE with a Hubbard U).

Values from the calculation:
The calculated volume is 194.1 Å³/cell. The density of states at the Fermi level comes out at 0.0 states/eV/cell. The value obtained for the total DFT energy (no corrections) is -5.95 eV per atom. As for the space group: I4/mcm, No. 140.

Lattice parameters (Å, degrees): 6.308 6.308 6.611 118.50 118.50 90.00
Last column: magnetic moment on the atom in μB.
Positions (direct):
Mn 0.000 0.000 0.000  4.64
Mn 0.500 0.500 0.000  4.64
Ba 0.750 0.250 0.500  0.01
Ba 0.250 0.750 0.500  0.01
S 0.250 0.250 0.500  0.01
S 0.750 0.750 0.500  0.01
F 0.676 0.176 0.000  0.04
F 0.824 0.676 0.000  0.04
F 0.176 0.324 0.000  0.04
F 0.324 0.824 0.000  0.04